# Ac3Ga2Pt7

Ac3Ga2Pt7 after structural relaxation (GGA-PBE, the Alexandria database).

a b c (Å): 4.1764 4.3348 15.4203
angles (deg): 98.08 90.00 90.00
Fractional positions:
Ac (0.5000, 0.5000, 0.0000)
Pt (0.0000, 0.0000, 0.0000)
Ac (0.5000, 0.6995, 0.3991)
Pt (0.0000, 0.6229, 0.2458)
Pt (0.5000, 0.8751, 0.7501)
Pt (0.5000, 0.1249, 0.2499)
Pt (0.0000, 0.3771, 0.7542)
Pt (0.0000, 0.1934, 0.3868)
Ga (0.0000, 0.9195, 0.8390)
Ga (0.0000, 0.0805, 0.1610)
Pt (0.0000, 0.8066, 0.6132)
Ac (0.5000, 0.3005, 0.6009)

- ΔH_f (0 K): -788.8 meV per atom
- Calculated volume: 276 Å³ per cell

=====

# AuCl3

AuCl3 after structural relaxation (GGA-PBE, the Alexandria database).

a b c (Å): 4.9012 4.9012 4.9012
angles (deg): 109.59 109.59 109.59
Last column: magnetic moment on the atom in μB.
Fractional positions:
Au (0.0000, 0.0000, 0.0000)  0.06
Cl (0.0000, 0.5000, 0.5000)  0.34
Cl (0.5000, 0.5000, 0.0000)  0.34
Cl (0.5000, 0.0000, 0.5000)  0.34

- E_form (uncorrected): 1.75 eV/f.u.
- Calculated volume: 90 Å³ per cell

=====

# InTcAg4

InTcAg4 after structural relaxation (GGA-PBE, the Alexandria database).

a b c (Å): 5.4611 5.4611 5.4611
angles (deg): 60.00 60.00 60.00
Last column: magnetic moment on the atom in μB.
Fractional positions:
Ag (0.3747, 0.8759, 0.3747)  0.02
Tc (0.0000, 0.0000, 0.0000)  2.69
In (0.7500, 0.7500, 0.7500)  -0.03
Ag (0.3747, 0.3747, 0.3747)  0.02
Ag (0.3747, 0.3747, 0.8759)  0.02
Ag (0.8759, 0.3747, 0.3747)  0.02

- ΔH_f (0 K): 529.7 meV per atom
- Calculated volume: 115 Å³ per cell